[1]
The following is a DFT calculation (PBE) of a geometry-optimized FeTeSe structure.

a = 6.1449 Å, b = 6.1449 Å, c = 6.1449 Å
α = 90.00°, β = 90.00°, γ = 90.00°
With the nearest neighbours (Å) after each atom.
Space group F-43m (No. 216)
Symmetry-distinct sites (fractional):
Fe: 0.0000 0.0000 0.0000  4 Se 2.66, 4 Te 2.66
Te: 0.2500 0.2500 0.7500  4 Fe 2.66
Se: 0.2500 0.2500 0.2500  4 Fe 2.66

Properties
E = -59.1 eV for the cell shown
ρ = 7.512 g cm⁻³
formation energy from raw total energies = 0.3 eV/f.u.
density of states at the Fermi level = 1.016 states/eV/f.u.

=====

[2]
The following is a DFT calculation (PBE) of a geometry-optimized PmThI structure.

a = 6.6437 Å, b = 3.8358 Å, c = 17.5516 Å
α = 90.00°, β = 94.25°, γ = 90.00°
With the nearest neighbours (Å) after each atom.
Space group Cm (No. 8)
Symmetry-distinct sites (fractional):
Pm: 0.0000 0.0000 0.0000  3 I 3.15
Pm: 0.2361 0.0000 0.5056  3 I 3.15
Th: 0.3016 0.0000 0.8330  9 Th 3.58-3.84, 3 Pm 3.66-3.67
Th: 0.4364 0.5000 0.6726  9 Th 3.58-3.84, 3 Pm 3.66-3.67
I: 0.3583 0.0000 0.1281  3 Pm 3.15
I: 0.3776 0.5000 0.3774  3 Pm 3.15

Properties
E = -60.7 eV for the cell shown
ρ = 7.504 g cm⁻³
formation energy from raw total energies = -1.4 eV/f.u.
density of states at the Fermi level = 3.891 states/eV/f.u.